Compound: BaCuNi2F8
Source: the Alexandria database
Functional: PBE with a Hubbard U
Structure: relaxed

Calculated values
**Space group**: P-1 (2)

```
BaCuNi2F8
1.0
4.683 0.000 0.000
0.724 5.074 0.000
0.129 0.687 7.594
Ba Cu Ni F
1 1 2 8
Direct
0.000 0.000 0.000 Ba
0.000 0.000 0.500 Cu
0.483 0.467 0.690 Ni
0.517 0.533 0.310 Ni
0.142 0.776 0.318 F
0.149 0.752 0.707 F
0.357 0.289 0.491 F
0.419 0.280 0.920 F
0.581 0.720 0.080 F
0.643 0.711 0.509 F
0.851 0.248 0.293 F
0.858 0.224 0.682 F
```

Compound: BaCuNiF6
Source: the Alexandria database
Functional: PBE with a Hubbard U
Structure: relaxed

Calculated values
**Space group**: Imma (74)
**DOS(E_F)**: 0.559 states/eV per atom

```
BaCuNiF6
1.0
-3.544 3.605 5.092
3.544 -3.605 5.092
3.544 3.605 -5.092
Ba Cu Ni F
2 2 2 12
Direct
0.377 0.127 0.250 Ba
0.623 0.873 0.750 Ba
0.000 0.000 0.500 Cu
0.000 0.500 0.000 Cu
0.000 0.500 0.500 Ni
0.500 0.500 0.000 Ni
0.085 0.835 0.250 F
0.096 0.405 0.252 F
0.096 0.844 0.690 F
0.335 0.585 0.750 F
0.346 0.156 0.752 F
0.346 0.595 0.190 F
0.654 0.405 0.810 F
0.654 0.844 0.248 F
0.665 0.415 0.250 F
0.904 0.156 0.310 F
0.904 0.595 0.748 F
0.915 0.165 0.750 F
```

no.,DFT total energy (eV per atom),V (Å³/cell)
1,-4.522,180.4
2,-4.606,260.2